Entry from Alexandria via LeMat-Bulk: crystalline NbSb2Pt2 at its relaxed geometry (PBE).

Unit cell a=3.7890 b=3.7890 c=7.6047 alpha=75.57 beta=75.57 gamma=90.00
With the nearest neighbours (Å) after each atom.
Fractional positions:
Sb 0.6071 0.6071 0.7858  4 Pt 2.78, 1 Sb 3.05, 4 Nb 3.08
Pt 0.2500 0.7500 0.5000  4 Pt 2.68, 4 Sb 2.78
Pt 0.7500 0.2500 0.5000  4 Pt 2.68, 4 Sb 2.78
Nb 0.0000 0.0000 0.0000  8 Sb 3.08
Sb 0.3929 0.3929 0.2142  4 Pt 2.78, 1 Sb 3.05, 4 Nb 3.08

Calculated values
ΔE_f (raw) in eV/atom: 0.072
V in Å³/cell: 102
Calculated density in kg/m3: 11808
Excess energy over the best structure of this formula in the dataset in eV/f.u.: 0.62
Symmetry: I4/mmm

Entry from Alexandria via LeMat-Bulk: crystalline NbSb3Pt12 at its relaxed geometry (PBE).

Unit cell a=4.0026 b=4.0026 c=17.0290 alpha=90.00 beta=90.00 gamma=90.00
With the nearest neighbours (Å) after each atom.
Fractional positions:
Pt 0.0000 0.5000 0.3711  4 Sb 2.80-2.97, 8 Pt 2.83-3.09
Sb 0.0000 0.0000 0.5000  12 Pt 2.83-2.97
Pt 0.5000 0.5000 0.7675  8 Pt 2.86-3.09, 4 Sb 2.86
Pt 0.0000 0.5000 0.8871  2 Nb 2.78, 8 Pt 2.78-2.86
Pt 0.0000 0.5000 0.1129  2 Nb 2.78, 8 Pt 2.78-2.86
Pt 0.5000 0.0000 0.6289  4 Sb 2.80-2.97, 8 Pt 2.83-3.09
Pt 0.5000 0.5000 0.5000  4 Sb 2.83, 8 Pt 2.97
Pt 0.0000 0.5000 0.6289  4 Sb 2.80-2.97, 8 Pt 2.83-3.09
Pt 0.5000 0.0000 0.3711  4 Sb 2.80-2.97, 8 Pt 2.83-3.09
Pt 0.5000 0.5000 0.2325  8 Pt 2.86-3.09, 4 Sb 2.86
Sb 0.0000 0.0000 0.7437  8 Pt 2.80-2.86
Pt 0.5000 0.5000 0.0000  8 Pt 2.78, 4 Nb 2.83
Pt 0.5000 0.0000 0.1129  8 Pt 2.78-2.86, 2 Nb 2.78
Sb 0.0000 0.0000 0.2563  8 Pt 2.80-2.86
Nb 0.0000 0.0000 0.0000  12 Pt 2.78-2.83
Pt 0.5000 0.0000 0.8871  8 Pt 2.78-2.86, 2 Nb 2.78

Calculated values
ΔE_f (raw) in eV/atom: -0.267
V in Å³/cell: 273
Calculated density in kg/m3: 17038
Symmetry: P4/mmm

Entry from Alexandria via LeMat-Bulk: crystalline Nb2Sb2Pt at its relaxed geometry (PBE).

Unit cell a=4.0645 b=4.0645 c=7.1843 alpha=73.57 beta=73.57 gamma=90.00
With the nearest neighbours (Å) after each atom.
Fractional positions:
Sb 0.3980 0.3980 0.2040  1 Sb 2.69, 4 Nb 2.82
Nb 0.2500 0.7500 0.5000  4 Sb 2.82, 4 Nb 2.87
Sb 0.6020 0.6020 0.7960  1 Sb 2.69, 4 Nb 2.82
Pt 0.0000 0.0000 0.0000  8 Sb 3.17
Nb 0.7500 0.2500 0.5000  4 Sb 2.82, 4 Nb 2.87

Calculated values
ΔE_f (raw) in eV/atom: 0.453
V in Å³/cell: 109
Calculated density in kg/m3: 9532
Excess energy over the best structure of this formula in the dataset in eV/f.u.: 2.13
Symmetry: I4/mmm